# Hg2Pt, relaxed, DFT GGA-PBE
data_Hg2Pt
_chemical_formula_sum 'Hg8 Pt4'
_cell_length_a 7.157
_cell_length_b 3.828
_cell_length_c 9.615
_cell_angle_alpha 90.00
_cell_angle_beta 90.00
_cell_angle_gamma 90.00
_symmetry_space_group_name_H-M 'P n m a'
_symmetry_Int_Tables_number 62
loop_
_symmetry_equiv_pos_as_xyz
'x,y,z'
'-x,-y,-z'
'-x+1/2,-y,z+1/2'
'x+1/2,y,-z+1/2'
'x+1/2,-y+1/2,-z+1/2'
'-x+1/2,y+1/2,z+1/2'
'-x,y+1/2,-z'
'x,-y+1/2,z'
loop_
_atom_site_label
_atom_site_type_symbol
_atom_site_fract_x
_atom_site_fract_y
_atom_site_fract_z
Hg1 Hg 0.033 0.250 0.196
Hg2 Hg 0.188 0.750 0.452
Pt1 Pt 0.183 0.250 0.673
# - formation enthalpy at 0 K (meV per atom) = 46
# - E (eV/f.u.) = -6.508
# - excess energy over the best structure of this formula in the dataset (kcal/mol of atoms) = 2.58

=====

# Sc2AgTeN, relaxed, DFT GGA-PBE
data_Sc2AgTeN
_chemical_formula_sum 'Sc2 Ag1 Te1 N1'
_cell_length_a 4.321
_cell_length_b 4.321
_cell_length_c 5.182
_cell_angle_alpha 90.00
_cell_angle_beta 90.00
_cell_angle_gamma 90.00
_symmetry_space_group_name_H-M 'P 4/m m m'
_symmetry_Int_Tables_number 123
_symmetry_space_group_name_Hall '-P 4 2'
loop_
_atom_site_label
_atom_site_type_symbol
_atom_site_fract_x
_atom_site_fract_y
_atom_site_fract_z
Sc1 Sc 0.000 0.500 0.000
Ag1 Ag 0.000 0.000 0.500
Te1 Te 0.500 0.500 0.500
N1 N 0.500 0.500 0.000
# - E (eV/f.u.) = -29.629
# - uncorrected formation energy (eV/atom) = -0.5295

=====

# AcGdAgPb, relaxed, DFT GGA-PBE
data_AcGdAgPb
_chemical_formula_sum 'Ac4 Gd4 Ag4 Pb4'
_cell_length_a 7.869
_cell_length_b 7.869
_cell_length_c 7.869
_cell_angle_alpha 90.00
_cell_angle_beta 90.00
_cell_angle_gamma 90.00
_symmetry_space_group_name_H-M 'F -4 3 m'
_symmetry_Int_Tables_number 216
_symmetry_space_group_name_Hall 'F -4 2 3'
loop_
_atom_site_label
_atom_site_type_symbol
_atom_site_fract_x
_atom_site_fract_y
_atom_site_fract_z
Ac1 Ac 0.000 0.000 0.000
Gd1 Gd 0.000 0.000 0.500
Ag1 Ag 0.250 0.250 0.750
Pb1 Pb 0.250 0.250 0.250
# - formation enthalpy at 0 K (meV per atom) = -383
# - E (eV/f.u.) = -26.281

=====

# Nd3DySc2Se6, relaxed, DFT GGA-PBE
data_Nd3DySc2Se6
_chemical_formula_sum 'Nd6 Dy2 Sc4 Se12'
_cell_length_a 6.991
_cell_length_b 12.159
_cell_length_c 7.215
_cell_angle_alpha 90.00
_cell_angle_beta 108.97
_cell_angle_gamma 90.00
_symmetry_space_group_name_H-M 'C 1 2/m 1'
_symmetry_Int_Tables_number 12
loop_
_symmetry_equiv_pos_as_xyz
'x,y,z'
'-x,-y,-z'
'-x,y,-z'
'x,-y,z'
'x+1/2,y+1/2,z'
'-x+1/2,-y+1/2,-z'
'-x+1/2,y+1/2,-z'
'x+1/2,-y+1/2,z'
loop_
_atom_site_label
_atom_site_type_symbol
_atom_site_fract_x
_atom_site_fract_y
_atom_site_fract_z
Nd1 Nd 0.000 0.000 0.000
Nd2 Nd 0.000 0.338 0.000
Dy1 Dy 0.000 0.500 0.500
Sc1 Sc 0.000 0.166 0.500
Se1 Se 0.231 0.000 0.723
Se2 Se 0.247 0.328 0.727
# - E (eV/f.u.) = -73.272
# - uncorrected formation energy (eV/atom) = -1.7330

=====

# Cs2RbPu3F12, relaxed, DFT GGA-PBE
data_Cs2RbPu3F12
_chemical_formula_sum 'Cs6 Rb3 Pu9 F36'
_cell_length_a 8.8649
_cell_length_b 8.8649
_cell_length_c 19.7950
_cell_angle_alpha 90.00
_cell_angle_beta 90.00
_cell_angle_gamma 120.00
_symmetry_space_group_name_H-M 'R -3 m'
_symmetry_Int_Tables_number 166
_symmetry_space_group_name_Hall '-R 3 2"'
loop_
_atom_site_label
_atom_site_type_symbol
_atom_site_fract_x
_atom_site_fract_y
_atom_site_fract_z
Cs1 Cs 0.0000 0.0000 0.1301
Rb1 Rb 0.0000 0.0000 0.5000
Pu1 Pu 0.0000 0.5000 0.0000
F1 F 0.0376 0.5188 0.8889
F2 F 0.0880 0.5440 0.3162
# - E (eV/f.u.) = -127.712
# - uncorrected formation energy (eV/atom) = -3.3103

=====

# Y9ErIn2, relaxed, DFT GGA-PBE
data_Y9ErIn2
_chemical_formula_sum 'Y9 Er1 In2'
_cell_length_a 4.889
_cell_length_b 4.889
_cell_length_c 14.991
_cell_angle_alpha 90.00
_cell_angle_beta 90.00
_cell_angle_gamma 90.00
_symmetry_space_group_name_H-M 'P 4/m m m'
_symmetry_Int_Tables_number 123
_symmetry_space_group_name_Hall '-P 4 2'
loop_
_atom_site_label
_atom_site_type_symbol
_atom_site_fract_x
_atom_site_fract_y
_atom_site_fract_z
Y1 Y 0.000 0.000 0.000
Y2 Y 0.000 0.000 0.338
Y3 Y 0.000 0.500 0.173
Y4 Y 0.000 0.500 0.500
Er1 Er 0.500 0.500 0.000
In1 In 0.500 0.500 0.339
# - formation enthalpy at 0 K (meV per atom) = -170
# - E (eV/f.u.) = -70.253

=====

# RbGaAgAu2, relaxed, DFT GGA-PBE
data_RbGaAgAu2
_chemical_formula_sum 'Rb1 Ga1 Ag1 Au2'
_cell_length_a 5.094
_cell_length_b 5.094
_cell_length_c 5.170
_cell_angle_alpha 90.00
_cell_angle_beta 90.00
_cell_angle_gamma 90.00
_symmetry_space_group_name_H-M 'P 4/m m m'
_symmetry_Int_Tables_number 123
_symmetry_space_group_name_Hall '-P 4 2'
loop_
_atom_site_label
_atom_site_type_symbol
_atom_site_fract_x
_atom_site_fract_y
_atom_site_fract_z
Rb1 Rb 0.000 0.000 0.000
Ga1 Ga 0.500 0.500 0.500
Ag1 Ag 0.500 0.500 0.000
Au1 Au 0.000 0.500 0.500
# - formation enthalpy at 0 K (meV per atom) = -82
# - E (eV/f.u.) = -13.813
# - excess energy over the best structure of this formula in the dataset (kcal/mol of atoms) = 0.00

=====

# TaNb5Ru2, relaxed, DFT GGA-PBE
data_TaNb5Ru2
_chemical_formula_sum 'Ta2 Nb10 Ru4'
_cell_length_a 5.522
_cell_length_b 10.849
_cell_length_c 4.573
_cell_angle_alpha 90.00
_cell_angle_beta 90.00
_cell_angle_gamma 90.00
_symmetry_space_group_name_H-M 'P b a m'
_symmetry_Int_Tables_number 55
loop_
_symmetry_equiv_pos_as_xyz
'x,y,z'
'-x,-y,-z'
'-x,-y,z'
'x,y,-z'
'x+1/2,-y+1/2,-z'
'-x+1/2,y+1/2,z'
'-x+1/2,y+1/2,-z'
'x+1/2,-y+1/2,z'
loop_
_atom_site_label
_atom_site_type_symbol
_atom_site_fract_x
_atom_site_fract_y
_atom_site_fract_z
Ta1 Ta 0.000 0.000 0.000
Nb1 Nb 0.000 0.500 0.000
Nb2 Nb 0.163 0.254 0.000
Nb3 Nb 0.163 0.629 0.500
Ru1 Ru 0.165 0.887 0.500
# - formation enthalpy at 0 K (meV per atom) = -164
# - E (eV/f.u.) = -82.068
# - excess energy over the best structure of this formula in the dataset (kcal/mol of atoms) = 1.27

=====

# ThSc3Cd, relaxed, DFT GGA-PBE
data_ThSc3Cd
_chemical_formula_sum 'Th4 Sc12 Cd4'
_cell_length_a 12.171
_cell_length_b 3.502
_cell_length_c 11.917
_cell_angle_alpha 90.00
_cell_angle_beta 92.50
_cell_angle_gamma 90.00
_symmetry_space_group_name_H-M 'C 1 2/m 1'
_symmetry_Int_Tables_number 12
loop_
_symmetry_equiv_pos_as_xyz
'x,y,z'
'-x,-y,-z'
'-x,y,-z'
'x,-y,z'
'x+1/2,y+1/2,z'
'-x+1/2,-y+1/2,-z'
'-x+1/2,y+1/2,-z'
'x+1/2,-y+1/2,z'
loop_
_atom_site_label
_atom_site_type_symbol
_atom_site_fract_x
_atom_site_fract_y
_atom_site_fract_z
Th1 Th 0.149 0.000 0.425
Sc1 Sc 0.029 0.000 0.158
Sc2 Sc 0.080 0.500 0.649
Sc3 Sc 0.250 0.000 0.792
Cd1 Cd 0.141 0.500 0.970
# - formation enthalpy at 0 K (meV per atom) = -63
# - E (eV/f.u.) = -27.643

=====

# RbLi3Zr, relaxed, DFT GGA-PBE
data_RbLi3Zr
_chemical_formula_sum 'Rb1 Li3 Zr1'
_cell_length_a 5.808
_cell_length_b 5.808
_cell_length_c 5.808
_cell_angle_alpha 90.00
_cell_angle_beta 90.00
_cell_angle_gamma 90.00
_symmetry_space_group_name_H-M 'P m -3 m'
_symmetry_Int_Tables_number 221
_symmetry_space_group_name_Hall '-P 4 2 3'
loop_
_atom_site_label
_atom_site_type_symbol
_atom_site_fract_x
_atom_site_fract_y
_atom_site_fract_z
Rb1 Rb 0.000 0.000 0.000
Li1 Li 0.000 0.500 0.500
Zr1 Zr 0.500 0.500 0.500
# - formation enthalpy at 0 K (meV per atom) = 908
# - E (eV/f.u.) = -10.717
# - excess energy over the best structure of this formula in the dataset (kcal/mol of atoms) = 0.00

=====

# Sc5Tl, relaxed, DFT GGA-PBE
data_Sc5Tl
_chemical_formula_sum 'Sc10 Tl2'
_cell_length_a 4.520
_cell_length_b 14.053
_cell_length_c 4.480
_cell_angle_alpha 90.00
_cell_angle_beta 90.00
_cell_angle_gamma 90.00
_symmetry_space_group_name_H-M 'C m m m'
_symmetry_Int_Tables_number 65
_symmetry_space_group_name_Hall '-C 2 2'
loop_
_atom_site_label
_atom_site_type_symbol
_atom_site_fract_x
_atom_site_fract_y
_atom_site_fract_z
Sc1 Sc 0.000 0.000 0.000
Sc2 Sc 0.000 0.163 0.500
Sc3 Sc 0.000 0.328 0.000
Tl1 Tl 0.000 0.500 0.500
# - formation enthalpy at 0 K (meV per atom) = -121
# - E (eV/f.u.) = -34.751
# - excess energy over the best structure of this formula in the dataset (kcal/mol of atoms) = 0.00

=====

# BaLiPm, relaxed, DFT GGA-PBE
data_BaLiPm
_chemical_formula_sum 'Ba2 Li2 Pm2'
_cell_length_a 4.007
_cell_length_b 4.007
_cell_length_c 13.954
_cell_angle_alpha 90.00
_cell_angle_beta 90.00
_cell_angle_gamma 90.00
_symmetry_space_group_name_H-M 'I 4 m m'
_symmetry_Int_Tables_number 107
_symmetry_space_group_name_Hall 'I 4 -2'
loop_
_atom_site_label
_atom_site_type_symbol
_atom_site_fract_x
_atom_site_fract_y
_atom_site_fract_z
Ba1 Ba 0.000 0.000 0.000
Li1 Li 0.000 0.000 0.667
Pm1 Pm 0.000 0.000 0.288
# - formation enthalpy at 0 K (meV per atom) = 191
# - E (eV/f.u.) = -8.015
# - excess energy over the best structure of this formula in the dataset (kcal/mol of atoms) = 0.00

=====

# LiCO, relaxed, DFT GGA-PBE
data_LiCO
_chemical_formula_sum 'Li2 C2 O2'
_cell_length_a 3.547
_cell_length_b 3.745
_cell_length_c 5.088
_cell_angle_alpha 70.94
_cell_angle_beta 70.18
_cell_angle_gamma 80.32
_symmetry_space_group_name_H-M 'P 1'
_symmetry_Int_Tables_number 1
loop_
_symmetry_equiv_pos_as_xyz
'x,y,z'
loop_
_atom_site_label
_atom_site_type_symbol
_atom_site_fract_x
_atom_site_fract_y
_atom_site_fract_z
Li1 Li 0.000 0.000 0.000
Li2 Li 0.204 0.238 0.341
C1 C 0.315 0.497 0.858
C2 C 0.651 0.670 0.653
O1 O 0.023 0.492 0.693
O2 O 0.698 0.935 0.402
# - E (eV/f.u.) = -18.081
# - excess energy over the best structure of this formula in the dataset (kcal/mol of atoms) = 10.22
# - uncorrected formation energy (eV/atom) = -0.6616

=====

# In2Sn5Cl12, relaxed, DFT GGA-PBE
data_In2Sn5Cl12
_chemical_formula_sum 'In4 Sn10 Cl24'
_cell_length_a 15.903
_cell_length_b 7.666
_cell_length_c 10.682
_cell_angle_alpha 90.00
_cell_angle_beta 106.23
_cell_angle_gamma 90.00
_symmetry_space_group_name_H-M 'C 1 2/m 1'
_symmetry_Int_Tables_number 12
loop_
_symmetry_equiv_pos_as_xyz
'x,y,z'
'-x,-y,-z'
'-x,y,-z'
'x,-y,z'
'x+1/2,y+1/2,z'
'-x+1/2,-y+1/2,-z'
'-x+1/2,y+1/2,-z'
'x+1/2,-y+1/2,z'
loop_
_atom_site_label
_atom_site_type_symbol
_atom_site_fract_x
_atom_site_fract_y
_atom_site_fract_z
In1 In 0.000 0.210 0.000
Sn1 Sn 0.000 0.000 0.500
Sn2 Sn 0.164 0.500 0.735
Sn3 Sn 0.192 0.500 0.328
Cl1 Cl 0.020 0.500 0.218
Cl2 Cl 0.040 0.000 0.768
Cl3 Cl 0.136 0.269 0.532
Cl4 Cl 0.202 0.242 0.158
# - E (eV/f.u.) = -65.086
# - uncorrected formation energy (eV/atom) = -0.9176

=====

# Ba2ScMo, relaxed, DFT GGA-PBE
data_Ba2ScMo
_chemical_formula_sum 'Ba6 Sc3 Mo3'
_cell_length_a 3.6097
_cell_length_b 3.6097
_cell_length_c 33.8274
_cell_angle_alpha 90.00
_cell_angle_beta 90.00
_cell_angle_gamma 120.00
_symmetry_space_group_name_H-M 'R -3 m'
_symmetry_Int_Tables_number 166
_symmetry_space_group_name_Hall '-R 3 2"'
loop_
_atom_site_label
_atom_site_type_symbol
_atom_site_fract_x
_atom_site_fract_y
_atom_site_fract_z
Ba1 Ba 0.0000 0.0000 0.2407
Sc1 Sc 0.0000 0.0000 0.0000
Mo1 Mo 0.0000 0.0000 0.5000
# - formation enthalpy at 0 K (meV per atom) = 1075
# - E (eV/f.u.) = -16.709
# - excess energy over the best structure of this formula in the dataset (kcal/mol of atoms) = 12.36

=====

# Sc3NbC, relaxed, DFT GGA-PBE
data_Sc3NbC
_chemical_formula_sum 'Sc3 Nb1 C1'
_cell_length_a 4.559
_cell_length_b 4.559
_cell_length_c 4.559
_cell_angle_alpha 90.00
_cell_angle_beta 90.00
_cell_angle_gamma 90.00
_symmetry_space_group_name_H-M 'P m -3 m'
_symmetry_Int_Tables_number 221
_symmetry_space_group_name_Hall '-P 4 2 3'
loop_
_atom_site_label
_atom_site_type_symbol
_atom_site_fract_x
_atom_site_fract_y
_atom_site_fract_z
Sc1 Sc 0.000 0.000 0.500
Nb1 Nb 0.500 0.500 0.500
C1 C 0.000 0.000 0.000
# - formation enthalpy at 0 K (meV per atom) = 29
# - E (eV/f.u.) = -38.142
# - excess energy over the best structure of this formula in the dataset (kcal/mol of atoms) = 0.00

=====

# NaNbIr2Os, relaxed, DFT GGA-PBE
data_NaNbIr2Os
_chemical_formula_sum 'Na1 Nb1 Ir2 Os1'
_cell_length_a 4.836
_cell_length_b 4.836
_cell_length_c 4.836
_cell_angle_alpha 90.00
_cell_angle_beta 90.00
_cell_angle_gamma 90.00
_symmetry_space_group_name_H-M 'P 4/m m m'
_symmetry_Int_Tables_number 123
_symmetry_space_group_name_Hall '-P 4 2'
loop_
_atom_site_label
_atom_site_type_symbol
_atom_site_fract_x
_atom_site_fract_y
_atom_site_fract_z
Na1 Na 0.000 0.000 0.000
Nb1 Nb 0.500 0.500 0.000
Ir1 Ir 0.000 0.500 0.500
Os1 Os 0.500 0.500 0.500
# - formation enthalpy at 0 K (meV per atom) = 1222
# - E (eV/f.u.) = -34.232

=====

# Sr2MgGeAu6, relaxed, DFT GGA-PBE
data_Sr2MgGeAu6
_chemical_formula_sum 'Sr4 Mg2 Ge2 Au12'
_cell_length_a 12.950
_cell_length_b 5.657
_cell_length_c 9.123
_cell_angle_alpha 90.00
_cell_angle_beta 132.72
_cell_angle_gamma 90.00
_symmetry_space_group_name_H-M 'C 1 2/m 1'
_symmetry_Int_Tables_number 12
loop_
_symmetry_equiv_pos_as_xyz
'x,y,z'
'-x,-y,-z'
'-x,y,-z'
'x,-y,z'
'x+1/2,y+1/2,z'
'-x+1/2,-y+1/2,-z'
'-x+1/2,y+1/2,-z'
'x+1/2,-y+1/2,z'
loop_
_atom_site_label
_atom_site_type_symbol
_atom_site_fract_x
_atom_site_fract_y
_atom_site_fract_z
Sr1 Sr 0.248 0.000 0.289
Mg1 Mg 0.000 0.000 0.500
Ge1 Ge 0.000 0.500 0.000
Au1 Au 0.000 0.250 0.249
Au2 Au 0.248 0.000 0.887
# - formation enthalpy at 0 K (meV per atom) = -483
# - E (eV/f.u.) = -34.066

=====

# CaUCl6, relaxed, DFT GGA-PBE
data_CaUCl6
_chemical_formula_sum 'Ca2 U2 Cl12'
_cell_length_a 6.761
_cell_length_b 12.387
_cell_length_c 6.774
_cell_angle_alpha 90.00
_cell_angle_beta 105.77
_cell_angle_gamma 90.00
_symmetry_space_group_name_H-M 'C 1 2/m 1'
_symmetry_Int_Tables_number 12
loop_
_symmetry_equiv_pos_as_xyz
'x,y,z'
'-x,-y,-z'
'-x,y,-z'
'x,-y,z'
'x+1/2,y+1/2,z'
'-x+1/2,-y+1/2,-z'
'-x+1/2,y+1/2,-z'
'x+1/2,-y+1/2,z'
loop_
_atom_site_label
_atom_site_type_symbol
_atom_site_fract_x
_atom_site_fract_y
_atom_site_fract_z
Ca1 Ca 0.000 0.000 0.000
U1 U 0.000 0.500 0.500
Cl1 Cl 0.237 0.357 0.742
Cl2 Cl 0.246 0.500 0.259
# - E (eV/f.u.) = -40.038
# - excess energy over the best structure of this formula in the dataset (kcal/mol of atoms) = 0.32
# - uncorrected formation energy (eV/atom) = -1.9585

=====

# Na2NpCrN4, relaxed, DFT GGA-PBE
data_Na2NpCrN4
_chemical_formula_sum 'Na4 Np2 Cr2 N8'
_cell_length_a 6.487
_cell_length_b 7.335
_cell_length_c 4.799
_cell_angle_alpha 90.00
_cell_angle_beta 90.00
_cell_angle_gamma 90.00
_symmetry_space_group_name_H-M 'P m n 21'
_symmetry_Int_Tables_number 31
loop_
_symmetry_equiv_pos_as_xyz
'x,y,z'
'-x+1/2,-y,z+1/2'
'-x,y,z'
'x+1/2,-y,z+1/2'
loop_
_atom_site_label
_atom_site_type_symbol
_atom_site_fract_x
_atom_site_fract_y
_atom_site_fract_z
Na1 Na 0.237 0.129 0.000
Np1 Np 0.000 0.394 0.507
Cr1 Cr 0.000 0.686 0.945
N1 N 0.000 0.440 0.998
N2 N 0.000 0.668 0.579
N3 N 0.242 0.796 0.013
# - E (eV/f.u.) = -62.489
# - uncorrected formation energy (eV/atom) = -0.4982